(1)
Below is YTaAu after structural relaxation, with properties calculated at the PBE level.

Lattice parameters (Å, degrees): 4.7673 4.7673 3.3868 90.00 90.00 120.00
Space group P-6m2 (No. 187)
Asymmetric unit:
Y (0.0000, 0.0000, 0.0000) x1
Ta (0.3333, 0.6667, 0.5000) x1
Au (0.6667, 0.3333, 0.5000) x1

Properties
energy above the most stable polymorph in this dataset	0.1942	eV per atom
N(E_F)	3.83	states/eV/cell
size of the total moment	0.00	μB per formula unit

=====

(2)
Below is YTa4Au after structural relaxation, with properties calculated at the PBE level.

Lattice parameters (Å, degrees): 7.908 7.908 7.908 90.00 90.00 90.00
Space group F-43m (No. 216)
Asymmetric unit:
Y (0.000, 0.000, 0.000) x4
Ta (0.127, 0.127, 0.373) x16
Au (0.250, 0.250, 0.750) x4

Properties
DFT total energy	-9.27	eV per atom
N(E_F)	24.96	states/eV/cell
size of the total moment	0.00	μB per formula unit

=====

(3)
Below is YTa3Au after structural relaxation, with properties calculated at the PBE level.

Lattice parameters (Å, degrees): 5.021 5.021 5.021 90.00 90.00 90.00
Space group Pm-3m (No. 221)
Asymmetric unit:
Y (0.000, 0.000, 0.000) x1
Ta (0.000, 0.500, 0.500) x3
Au (0.500, 0.500, 0.500) x1

Properties
energy above the most stable polymorph in this dataset	0.0000	eV per atom
N(E_F)	10.90	states/eV/cell
size of the total moment	0.00	μB per formula unit

=====

(4)
Below is YTa3Au after structural relaxation, with properties calculated at the PBE level.

Lattice parameters (Å, degrees): 4.894 4.894 4.894 90.00 90.00 90.00
Space group Pm-3m (No. 221)
Asymmetric unit:
Y (0.000, 0.000, 0.000) x1
Ta (0.000, 0.000, 0.500) x3
Au (0.500, 0.500, 0.500) x1

Properties
energy above the most stable polymorph in this dataset	1.0119	eV per atom
N(E_F)	7.28	states/eV/cell
size of the total moment	0.00	μB per formula unit